Entry 1:
Density functional theory data (PBEsol) for crystalline Ag4RuW at its relaxed geometry.

Computed properties:
Symmetry: F-43m (216)
Crystal system: cubic

Cell lengths 5.1411, 5.1411, 5.1411 Å; angles 60.00, 60.00, 60.00 degrees
Last column: nearest neighbours and their distance in Å.
Fractional coordinates of all 6 atoms:
Ag1 0.3751 0.3751 0.3751  6 Ag 2.57
Ag2 0.3751 0.3751 0.8747  6 Ag 2.57
Ag3 0.8747 0.3751 0.3751  6 Ag 2.57
Ag4 0.3751 0.8747 0.3751  6 Ag 2.57
Ru1 0.7500 0.7500 0.7500  12 Ag 3.01, 4 W 3.15
W1 0.0000 0.0000 0.0000  12 Ag 3.01, 4 Ru 3.15

---

Entry 2:
Density functional theory data (PBEsol) for crystalline Cs2CoBr4 at its relaxed geometry.

Computed properties:
ΔE_f (raw), eV per atom: -1.16
Symmetry: Pnma (62)
Crystal system: orthorhombic

Cell lengths 7.5569, 10.1328, 13.1783 Å; angles 90.00, 90.00, 90.00 degrees
Last column: nearest neighbours and their distance in Å.
Fractional coordinates of all 28 atoms:
Cs1 0.7500 0.0235 0.1649  9 Br 3.55-3.86
Cs2 0.7500 0.5235 0.3351  9 Br 3.55-3.86
Cs3 0.2500 0.1368 0.3983  9 Br 3.72-4.15, 1 Co 4.04
Cs4 0.2500 0.9765 0.8351  9 Br 3.55-3.86
Cs5 0.2500 0.6368 0.1017  9 Br 3.72-4.15, 1 Co 4.04
Cs6 0.7500 0.8632 0.6017  9 Br 3.72-4.15, 1 Co 4.04
Cs7 0.2500 0.4765 0.6649  9 Br 3.55-3.86
Cs8 0.7500 0.3632 0.8983  9 Br 3.72-4.15, 1 Co 4.04
Br1 0.0048 0.6706 0.8472  1 Co 2.35
Br2 0.9952 0.3294 0.1528  1 Co 2.35
Br3 0.2500 0.0086 0.1072  1 Co 2.36
Br4 0.2500 0.8132 0.5912  1 Co 2.36
Br5 0.2500 0.5086 0.3928  1 Co 2.36
Br6 0.4952 0.1706 0.6528  1 Co 2.35
Br7 0.9952 0.8294 0.3472  1 Co 2.35
Br8 0.7500 0.1868 0.4088  1 Co 2.36
Br9 0.5048 0.3294 0.1528  1 Co 2.35
Br10 0.0048 0.1706 0.6528  1 Co 2.35
Br11 0.7500 0.4914 0.6072  1 Co 2.36
Br12 0.4952 0.6706 0.8472  1 Co 2.35
Br13 0.5048 0.8294 0.3472  1 Co 2.35
Br14 0.7500 0.9914 0.8928  1 Co 2.36
Br15 0.2500 0.3132 0.9088  1 Co 2.36
Br16 0.7500 0.6868 0.0912  1 Co 2.36
Co1 0.2500 0.7389 0.4217  4 Br 2.35-2.36
Co2 0.7500 0.7611 0.9217  4 Br 2.35-2.36
Co3 0.2500 0.2389 0.0783  4 Br 2.35-2.36
Co4 0.7500 0.2611 0.5783  4 Br 2.35-2.36

---

Entry 3:
Density functional theory data (PBEsol) for crystalline La3ReNi at its relaxed geometry.

Computed properties:
Symmetry: Pm-3m (221)
Crystal system: cubic

Cell lengths 5.4015, 5.4015, 5.4015 Å; angles 90.00, 90.00, 90.00 degrees
Last column: nearest neighbours and their distance in Å.
Fractional coordinates of all 5 atoms:
La1 0.0000 0.5000 0.0000  2 Re 2.70
La2 0.0000 0.0000 0.5000  2 Re 2.70
La3 0.5000 0.0000 0.0000  2 Re 2.70
Ni1 0.5000 0.5000 0.5000  12 La 3.82
Re1 0.0000 0.0000 0.0000  6 La 2.70

---

Entry 4:
Density functional theory data (PBEsol) for crystalline SrTlPS2 at its relaxed geometry.

Computed properties:
ΔE_f (raw), eV per atom: 0.37
Symmetry: P4/mmm (123)
Crystal system: tetragonal

Cell lengths 5.5068, 5.5068, 5.7038 Å; angles 90.00, 90.00, 90.00 degrees
Last column: nearest neighbours and their distance in Å.
Fractional coordinates of all 5 atoms:
Tl1 0.5000 0.5000 0.5000  4 P 3.89, 8 S 3.96
S1 0.0000 0.5000 0.0000  2 Sr 2.75
S2 0.5000 0.0000 0.0000  2 Sr 2.75
Sr1 0.0000 0.0000 0.0000  4 S 2.75, 2 P 2.85
P1 0.0000 0.0000 0.5000  2 Sr 2.85

---

Entry 5:
Density functional theory data (PBEsol) for crystalline Ca2CuAs at its relaxed geometry.

Computed properties:
Symmetry: Amm2 (38)
Crystal system: orthorhombic

Cell lengths 4.1031, 4.1422, 5.7641 Å; angles 90.00, 110.85, 90.00 degrees
Last column: nearest neighbours and their distance in Å.
Fractional coordinates of all 4 atoms:
Ca1 0.2641 0.0000 0.5283  3 Cu 3.00-3.19, 4 As 3.01
Ca2 0.9820 0.5000 0.9640  4 Cu 3.04, 3 As 3.07-3.11
As1 0.6934 0.5000 0.3868  2 Cu 2.52
Cu1 0.5605 0.0000 0.1210  2 As 2.52

---

Entry 6:
Density functional theory data (PBEsol) for crystalline BH2Rh2 at its relaxed geometry.

Computed properties:
Symmetry: I4/mmm (139)
Crystal system: tetragonal

Cell lengths 2.7250, 2.7250, 5.5407 Å; angles 104.24, 104.24, 90.00 degrees
Last column: nearest neighbours and their distance in Å.
Fractional coordinates of all 5 atoms:
Rh1 0.6249 0.6249 0.2498  4 H 1.88
Rh2 0.3751 0.3751 0.7502  4 H 1.88
B1 0.0000 0.0000 0.0000  8 Rh 2.32
H1 0.7500 0.2500 0.5000  4 Rh 1.88, 4 H 1.93
H2 0.2500 0.7500 0.5000  4 Rh 1.88, 4 H 1.93

---

Entry 7:
Density functional theory data (PBEsol) for crystalline BeCr2Cd at its relaxed geometry.

Computed properties:
ΔE to the lowest computed polymorph, meV per atom: 127
Symmetry: P4/mmm (123)
Crystal system: tetragonal

Cell lengths 3.4280, 3.4280, 4.1885 Å; angles 90.00, 90.00, 90.00 degrees
Last column: nearest neighbours and their distance in Å.
Fractional coordinates of all 4 atoms:
Cr1 0.5000 0.0000 0.0000  4 Cr 2.42, 4 Cd 2.71, 4 Be 2.71
Cr2 0.0000 0.5000 0.0000  4 Cr 2.42, 4 Be 2.71, 4 Cd 2.71
Cd1 0.0000 0.0000 0.5000  4 Be 2.42, 8 Cr 2.71
Be1 0.5000 0.5000 0.5000  4 Cd 2.42, 8 Cr 2.71

---

Entry 8:
Density functional theory data (PBEsol) for crystalline RbTi2BiCl at its relaxed geometry.

Computed properties:
ΔE_f (raw), eV per atom: 0.53
Symmetry: P4/mmm (123)
Crystal system: tetragonal

Cell lengths 5.2365, 5.2365, 7.3892 Å; angles 90.00, 90.00, 90.00 degrees
Last column: nearest neighbours and their distance in Å.
Fractional coordinates of all 5 atoms:
Bi1 0.0000 0.0000 0.0000  4 Ti 2.62
Cl1 0.0000 0.0000 0.5000  2 Bi 3.69, 4 Rb 3.70
Ti1 0.5000 0.0000 0.0000  2 Bi 2.62
Ti2 0.0000 0.5000 0.0000  2 Bi 2.62
Rb1 0.5000 0.5000 0.5000  4 Cl 3.70

---

| no. | uncorrected energy (eV/atom) | total magnetization (μB per cell) |
| --- | --- | --- |
| 1 | -5.34 | 0.0 |
| 2 | -3.60 | 12.0 |
| 3 | -6.50 | 0.0 |
| 4 | -3.43 | 3.3 |
| 5 | -4.10 | 0.0 |
| 6 | -6.05 | 0.0 |
| 7 | -5.94 | 0.0 |
| 8 | -4.26 | 4.5 |